## KReRh2 (GGA-PBE)

Data for a geometry-optimized KReRh2 structure.

Output
E_tot   -6.444 eV/atom
Total magnetization   0.000 μB per atom
Excess energy over the best structure of this formula in the dataset   6.89 kcal/mol of atoms

abc: 2.6888 4.0562 7.5828
angles: 90.00 90.00 90.00
Closest atoms and distances in Å follow each position.
Space group Pmm2 (No. 25)
Inequivalent atoms, fractional coordinates:
K: 0.0000 0.0000 0.0000 (multiplicity 1)  2 K 2.69
Re: 0.5000 0.5000 0.3649 (multiplicity 1)  5 Rh 2.44-2.62, 2 Re 2.69
Rh: 0.0000 0.0000 0.4912 (multiplicity 1)  4 Re 2.62, 6 Rh 2.69-2.85
Rh: 0.5000 0.5000 0.6864 (multiplicity 1)  1 Re 2.44, 2 Rh 2.69


## K2ReRh (GGA-PBE)

Data for a geometry-optimized K2ReRh structure.

Output
E_tot   -3.518 eV/atom
Total magnetization   1.097 μB per atom
Excess energy over the best structure of this formula in the dataset   31.07 kcal/mol of atoms

abc: 7.5470 7.5470 7.5470
angles: 90.00 90.00 90.00
Closest atoms and distances in Å follow each position.
Space group Fm-3m (No. 225)
Inequivalent atoms, fractional coordinates:
K: 0.2500 0.2500 0.2500 (multiplicity 8)  4 Re 3.27, 4 Rh 3.27
Re: 0.0000 0.0000 0.0000 (multiplicity 4)  8 K 3.27
Rh: 0.0000 0.0000 0.5000 (multiplicity 4)  8 K 3.27


## KReRh2 (GGA-PBE)

Data for a geometry-optimized KReRh2 structure.

Output
E_tot   -5.795 eV/atom
Total magnetization   0.193 μB per atom
Excess energy over the best structure of this formula in the dataset   21.84 kcal/mol of atoms

abc: 2.7223 4.7950 5.3072
angles: 90.00 90.00 90.00
Closest atoms and distances in Å follow each position.
Space group Pmmm (No. 47)
Inequivalent atoms, fractional coordinates:
K: 0.0000 0.0000 0.0000 (multiplicity 1)  2 K 2.72, 4 Rh 2.76, 4 Re 2.98
Re: 0.5000 0.0000 0.5000 (multiplicity 1)  2 Re 2.72, 4 Rh 2.76, 4 K 2.98
Rh: 0.0000 0.5000 0.5000 (multiplicity 1)  6 Rh 2.72-2.98, 4 Re 2.76
Rh: 0.5000 0.5000 0.0000 (multiplicity 1)  6 Rh 2.72-2.98, 4 K 2.76


## K2ReRh (GGA-PBE)

Data for a geometry-optimized K2ReRh structure.

Output
E_tot   -4.376 eV/atom
Total magnetization   0.124 μB per atom
Excess energy over the best structure of this formula in the dataset   11.27 kcal/mol of atoms

abc: 2.9878 4.6961 11.5083
angles: 90.00 90.00 90.00
Closest atoms and distances in Å follow each position.
Space group Cmmm (No. 65)
Inequivalent atoms, fractional coordinates:
K: 0.0000 0.0000 0.2395 (multiplicity 4)  6 K 2.78-2.99
Re: 0.0000 0.5000 0.5000 (multiplicity 2)  6 Re 2.78-2.99
Rh: 0.0000 0.5000 0.0000 (multiplicity 2)  6 Rh 2.78-2.99


## KReRh2 (GGA-PBE)

Data for a geometry-optimized KReRh2 structure.

Output
E_tot   -5.737 eV/atom
Total magnetization   0.073 μB per atom
Excess energy over the best structure of this formula in the dataset   23.18 kcal/mol of atoms

abc: 3.9792 3.9792 8.5804
angles: 90.00 90.00 90.00
Closest atoms and distances in Å follow each position.
Space group I-4m2 (No. 119)
Inequivalent atoms, fractional coordinates:
K: 0.0000 0.0000 0.0000 (multiplicity 2)  8 Rh 2.81-2.93, 4 Re 2.93
Re: 0.0000 0.5000 0.7500 (multiplicity 2)  8 Rh 2.81-2.93, 4 K 2.93
Rh: 0.0000 0.0000 0.5000 (multiplicity 2)  4 K 2.81, 4 Re 2.93, 4 Rh 2.93
Rh: 0.0000 0.5000 0.2500 (multiplicity 2)  4 Re 2.81, 4 Rh 2.93, 4 K 2.93


## KReRh2 (GGA-PBE)

Data for a geometry-optimized KReRh2 structure.

Output
E_tot   -6.098 eV/atom
Total magnetization   0.000 μB per atom
Excess energy over the best structure of this formula in the dataset   14.86 kcal/mol of atoms

abc: 3.2085 5.6100 9.3604
angles: 90.00 90.00 90.00
Closest atoms and distances in Å follow each position.
Space group Immm (No. 71)
Inequivalent atoms, fractional coordinates:
K: 0.0000 0.0000 0.0000 (multiplicity 2)  2 K 3.21, 4 Re 3.23, 8 Rh 3.30-3.33
Re: 0.0000 0.0000 0.5000 (multiplicity 2)  4 Rh 2.41
Rh: 0.0000 0.5000 0.1921 (multiplicity 4)  2 Re 2.41


## K2ReRh (GGA-PBE)

Data for a geometry-optimized K2ReRh structure.

Output
E_tot   -4.799 eV/atom
Total magnetization   0.000 μB per atom
Excess energy over the best structure of this formula in the dataset   1.52 kcal/mol of atoms

abc: 8.4258 2.8344 9.9235
angles: 90.00 92.15 90.00
Closest atoms and distances in Å follow each position.
Space group Cm (No. 8)
Inequivalent atoms, fractional coordinates:
K: 0.0000 0.0000 0.0000 (multiplicity 2)  2 K 2.83
K: 0.2393 0.0000 0.5696 (multiplicity 2)  2 K 2.83
Re: 0.4866 0.0000 0.3228 (multiplicity 2)  3 Rh 2.38-2.57
Rh: 0.2480 0.5000 0.2396 (multiplicity 2)  3 Re 2.38-2.57


## K2ReRh (GGA-PBE)

Data for a geometry-optimized K2ReRh structure.

Output
E_tot   -4.210 eV/atom
Total magnetization   0.005 μB per atom
Excess energy over the best structure of this formula in the dataset   15.09 kcal/mol of atoms

abc: 3.8250 3.8250 11.3844
angles: 90.00 90.00 90.00
Closest atoms and distances in Å follow each position.
Space group I4/mmm (No. 139)
Inequivalent atoms, fractional coordinates:
K: 0.0000 0.5000 0.2500 (multiplicity 4)  4 K 2.70
Re: 0.0000 0.0000 0.0000 (multiplicity 2)  4 Rh 2.70
Rh: 0.0000 0.0000 0.5000 (multiplicity 2)  4 Re 2.70


## K2ReRh (GGA-PBE)

Data for a geometry-optimized K2ReRh structure.

Output
E_tot   -4.304 eV/atom
Total magnetization   0.000 μB per atom
Excess energy over the best structure of this formula in the dataset   12.93 kcal/mol of atoms

abc: 5.2769 11.3089 2.7860
angles: 90.00 90.00 90.00
Closest atoms and distances in Å follow each position.
Space group Cmmm (No. 65)
Inequivalent atoms, fractional coordinates:
K: 0.2500 0.2500 0.0000 (multiplicity 4)  4 K 2.64-2.79
Re: 0.0000 0.0000 0.5000 (multiplicity 2)  2 Rh 2.64, 2 Re 2.79
Rh: 0.0000 0.5000 0.5000 (multiplicity 2)  2 Re 2.64, 2 Rh 2.79


## K2ReRh (GGA-PBE)

Data for a geometry-optimized K2ReRh structure.

Output
E_tot   -4.734 eV/atom
Total magnetization   0.000 μB per atom
Excess energy over the best structure of this formula in the dataset   3.01 kcal/mol of atoms

abc: 2.9803 4.1459 20.1571
angles: 90.00 90.00 90.00
Closest atoms and distances in Å follow each position.
Space group Immm (No. 71)
Inequivalent atoms, fractional coordinates:
K: 0.0000 0.0000 0.1427 (multiplicity 4)  2 K 2.98, 2 Rh 3.24
Re: 0.0000 0.5000 0.0000 (multiplicity 2)  4 Rh 2.55
Rh: 0.0000 0.5000 0.5000 (multiplicity 2)  4 Re 2.55


## KRe3Rh (GGA-PBE)

Data for a geometry-optimized KRe3Rh structure.

Output
E_tot   -6.829 eV/atom
Total magnetization   0.570 μB per atom
Excess energy over the best structure of this formula in the dataset   0.00 kcal/mol of atoms

abc: 4.8218 4.8218 4.8218
angles: 90.00 90.00 90.00
Closest atoms and distances in Å follow each position.
Space group Pm-3m (No. 221)
Inequivalent atoms, fractional coordinates:
K: 0.0000 0.0000 0.0000 (multiplicity 1)  12 Re 3.41
Re: 0.0000 0.5000 0.5000 (multiplicity 3)  2 Rh 2.41
Rh: 0.5000 0.5000 0.5000 (multiplicity 1)  6 Re 2.41


## KRe2SbRh (GGA-PBE)

Data for a geometry-optimized KRe2SbRh structure.

Output
E_tot   -5.594 eV/atom
Total magnetization   0.914 μB per atom
Formation energy without anion corrections   1.90 eV/atom

abc: 5.0523 5.0523 4.9956
angles: 90.00 90.00 90.00
Closest atoms and distances in Å follow each position.
Space group P4/mmm (No. 123)
Inequivalent atoms, fractional coordinates:
K: 0.0000 0.0000 0.0000 (multiplicity 1)  8 Re 3.55, 4 Rh 3.57
Re: 0.0000 0.5000 0.5000 (multiplicity 2)  2 Sb 2.53
Sb: 0.5000 0.5000 0.5000 (multiplicity 1)  2 Rh 2.50, 4 Re 2.53
Rh: 0.5000 0.5000 0.0000 (multiplicity 1)  2 Sb 2.50


## K2TlReRh (GGA-PBE)

Data for a geometry-optimized K2TlReRh structure.

Output
E_tot   -3.351 eV/atom
Total magnetization   0.888 μB per atom

abc: 5.9631 5.9631 5.2091
angles: 90.00 90.00 90.00
Closest atoms and distances in Å follow each position.
Space group P4/mmm (No. 123)
Inequivalent atoms, fractional coordinates:
K: 0.0000 0.5000 0.0000 (multiplicity 2)  2 Rh 2.98
Tl: 0.0000 0.0000 0.5000 (multiplicity 1)  2 Rh 2.60
Re: 0.5000 0.5000 0.5000 (multiplicity 1)  8 K 3.96, 4 Tl 4.22
Rh: 0.0000 0.0000 0.0000 (multiplicity 1)  2 Tl 2.60


## KVReRh2 (GGA-PBE)

Data for a geometry-optimized KVReRh2 structure.

Output
E_tot   -5.653 eV/atom
Total magnetization   0.891 μB per atom

abc: 4.5412 4.5412 4.8369
angles: 90.00 90.00 90.00
Closest atoms and distances in Å follow each position.
Space group P4/mmm (No. 123)
Inequivalent atoms, fractional coordinates:
K: 0.0000 0.0000 0.0000 (multiplicity 1)  2 V 2.42
V: 0.0000 0.0000 0.5000 (multiplicity 1)  4 Rh 2.27, 2 K 2.42
Re: 0.5000 0.5000 0.0000 (multiplicity 1)  4 K 3.21, 8 Rh 3.32
Rh: 0.0000 0.5000 0.5000 (multiplicity 2)  2 V 2.27


## KYRe2Rh (GGA-PBE)

Data for a geometry-optimized KYRe2Rh structure.

Output
E_tot   -5.660 eV/atom
Total magnetization   1.239 μB per atom

abc: 5.3058 5.3058 5.0751
angles: 90.00 90.00 90.00
Closest atoms and distances in Å follow each position.
Space group P4/mmm (No. 123)
Inequivalent atoms, fractional coordinates:
K: 0.0000 0.0000 0.0000 (multiplicity 1)  8 Re 3.67, 4 Rh 3.75
Y: 0.5000 0.5000 0.5000 (multiplicity 1)  2 Rh 2.54, 4 Re 2.65
Re: 0.0000 0.5000 0.5000 (multiplicity 2)  2 Y 2.65
Rh: 0.5000 0.5000 0.0000 (multiplicity 1)  2 Y 2.54


## KReRu2 (GGA-PBE)

Data for a geometry-optimized KReRu2 structure.

Output
E_tot   -6.420 eV/atom
Total magnetization   0.403 μB per atom
Excess energy over the best structure of this formula in the dataset   22.13 kcal/mol of atoms

abc: 2.7600 4.7823 5.1242
angles: 90.00 90.00 90.00
Closest atoms and distances in Å follow each position.
Space group Pmmm (No. 47)
Inequivalent atoms, fractional coordinates:
K: 0.0000 0.0000 0.0000 (multiplicity 1)  2 K 2.76, 4 Ru 2.76, 4 Re 2.91
Re: 0.5000 0.0000 0.5000 (multiplicity 1)  2 Re 2.76, 4 Ru 2.76, 4 K 2.91
Ru: 0.0000 0.5000 0.5000 (multiplicity 1)  6 Ru 2.76-2.91, 4 Re 2.76
Ru: 0.5000 0.5000 0.0000 (multiplicity 1)  6 Ru 2.76-2.91, 4 K 2.76


## KRe3Ru (GGA-PBE)

Data for a geometry-optimized KRe3Ru structure.

Output
E_tot   -7.366 eV/atom
Total magnetization   0.526 μB per atom
Excess energy over the best structure of this formula in the dataset   0.00 kcal/mol of atoms

abc: 4.8032 4.8032 4.8032
angles: 90.00 90.00 90.00
Closest atoms and distances in Å follow each position.
Space group Pm-3m (No. 221)
Inequivalent atoms, fractional coordinates:
K: 0.0000 0.0000 0.0000 (multiplicity 1)  12 Re 3.40
Re: 0.0000 0.5000 0.5000 (multiplicity 3)  2 Ru 2.40
Ru: 0.5000 0.5000 0.5000 (multiplicity 1)  6 Re 2.40


## KReRu3 (GGA-PBE)

Data for a geometry-optimized KReRu3 structure.

Output
E_tot   -6.841 eV/atom
Total magnetization   0.348 μB per atom
Excess energy over the best structure of this formula in the dataset   0.00 kcal/mol of atoms

abc: 4.7886 4.7886 4.7886
angles: 90.00 90.00 90.00
Closest atoms and distances in Å follow each position.
Space group Pm-3m (No. 221)
Inequivalent atoms, fractional coordinates:
K: 0.0000 0.0000 0.0000 (multiplicity 1)  12 Ru 3.39
Re: 0.5000 0.5000 0.5000 (multiplicity 1)  6 Ru 2.39
Ru: 0.0000 0.5000 0.5000 (multiplicity 3)  2 Re 2.39


## K3ReRu (GGA-PBE)

Data for a geometry-optimized K3ReRu structure.

Output
E_tot   -2.862 eV/atom
Total magnetization   1.200 μB per atom
Excess energy over the best structure of this formula in the dataset   0.00 kcal/mol of atoms

abc: 6.0716 6.0716 6.0716
angles: 90.00 90.00 90.00
Closest atoms and distances in Å follow each position.
Space group Pm-3m (No. 221)
Inequivalent atoms, fractional coordinates:
K: 0.0000 0.0000 0.5000 (multiplicity 3)  2 Ru 3.04
Re: 0.5000 0.5000 0.5000 (multiplicity 1)  12 K 4.29
Ru: 0.0000 0.0000 0.0000 (multiplicity 1)  6 K 3.04


## KReRu2 (GGA-PBE)

Data for a geometry-optimized KReRu2 structure.

Output
E_tot   -6.453 eV/atom
Total magnetization   0.077 μB per atom
Excess energy over the best structure of this formula in the dataset   21.39 kcal/mol of atoms

abc: 6.3854 6.3854 6.3854
angles: 90.00 90.00 90.00
Closest atoms and distances in Å follow each position.
Space group F-43m (No. 216)
Inequivalent atoms, fractional coordinates:
K: 0.0000 0.0000 0.0000 (multiplicity 4)  4 Ru 2.76, 4 Re 2.76
Re: 0.2500 0.2500 0.2500 (multiplicity 4)  4 K 2.76, 4 Ru 2.76
Ru: 0.0000 0.0000 0.5000 (multiplicity 4)  4 Re 2.76, 4 Ru 2.76
Ru: 0.2500 0.2500 0.7500 (multiplicity 4)  4 Ru 2.76, 4 K 2.76